# 1
MoRu2W PBE-GGA optimized geometry; calculated formation energy = 0.057 eV per atom; offset from the most stable computed form = 18 meV per atom; N(E_F) = 11.05 states/eV per cell
1.0
5.605 0.000 0.000
0.000 7.656 0.000
0.000 0.000 2.791
Mo Ru W
2 4 2
Direct
0.000 0.000 0.000
0.500 0.500 0.000
0.250 0.250 0.500
0.250 0.750 0.500
0.750 0.250 0.500
0.750 0.750 0.500
0.000 0.500 0.000
0.500 0.000 0.000



# 2
MoRuW PBE-GGA optimized geometry; calculated formation energy = 0.760 eV per atom; offset from the most stable computed form = 669 meV per atom; N(E_F) = 11.41 states/eV per cell
1.0
6.000 0.000 0.000
0.000 6.000 0.000
0.000 0.000 6.000
Mo Ru W
4 4 4
Direct
0.000 0.000 0.000
0.000 0.500 0.500
0.500 0.000 0.500
0.500 0.500 0.000
0.250 0.250 0.250
0.250 0.750 0.750
0.750 0.250 0.750
0.750 0.750 0.250
0.000 0.000 0.500
0.000 0.500 0.000
0.500 0.000 0.000
0.500 0.500 0.500



# 3
MoRuW PBE-GGA optimized geometry; calculated formation energy = 0.092 eV per atom; offset from the most stable computed form = 0 meV per atom; N(E_F) = 4.42 states/eV per cell
1.0
2.755 0.000 0.000
0.000 2.755 0.000
0.000 0.000 12.163
Mo Ru W
2 2 2
Direct
0.000 0.000 0.000
0.500 0.500 0.500
0.000 0.000 0.658
0.500 0.500 0.158
0.000 0.000 0.316
0.500 0.500 0.816



# 4
MoRu2W PBE-GGA optimized geometry; calculated formation energy = 0.283 eV per atom; offset from the most stable computed form = 243 meV per atom; N(E_F) = 17.82 states/eV per cell
1.0
6.240 0.000 0.000
0.000 6.240 0.000
0.000 0.000 6.240
Mo Ru W
4 8 4
Direct
0.000 0.000 0.000
0.000 0.500 0.500
0.500 0.000 0.500
0.500 0.500 0.000
0.000 0.000 0.500
0.000 0.500 0.000
0.250 0.250 0.250
0.250 0.750 0.750
0.500 0.000 0.000
0.500 0.500 0.500
0.750 0.250 0.750
0.750 0.750 0.250
0.250 0.250 0.750
0.250 0.750 0.250
0.750 0.250 0.250
0.750 0.750 0.750



# 5
MoRu2W PBE-GGA optimized geometry; calculated formation energy = 0.131 eV per atom; offset from the most stable computed form = 91 meV per atom; N(E_F) = 3.99 states/eV per cell
1.0
2.794 0.000 0.000
0.000 3.849 0.000
0.000 0.000 5.608
Mo Ru W
1 2 1
Direct
0.000 0.000 0.000
0.000 0.000 0.491
0.500 0.500 0.226
0.500 0.500 0.719



# 6
MoRuW PBE-GGA optimized geometry; calculated formation energy = 0.200 eV per atom; offset from the most stable computed form = 109 meV per atom; N(E_F) = 4.99 states/eV per cell
1.0
4.417 0.000 0.000
-2.208 3.825 0.000
0.000 0.000 2.746
Mo Ru W
1 1 1
Direct
0.000 0.000 0.000
0.667 0.333 0.397
0.333 0.667 0.721



# 7
MoRuW PBE-GGA optimized geometry; calculated formation energy = 0.189 eV per atom; offset from the most stable computed form = 98 meV per atom; N(E_F) = 5.98 states/eV per cell
1.0
2.786 0.000 0.000
0.000 3.897 0.000
0.000 0.000 8.522
Mo Ru W
2 2 2
Direct
0.000 0.000 0.000
0.500 0.500 0.500
0.000 0.000 0.664
0.500 0.500 0.164
0.000 0.000 0.325
0.500 0.500 0.825



# 8
MoRu2W PBE-GGA optimized geometry; calculated formation energy = 0.047 eV per atom; offset from the most stable computed form = 8 meV per atom; N(E_F) = 4.33 states/eV per cell
1.0
3.928 0.000 0.000
0.000 3.928 0.000
0.000 0.000 3.876
Mo Ru W
1 2 1
Direct
0.000 0.000 0.000
0.000 0.500 0.500
0.500 0.000 0.500
0.500 0.500 0.000



# 9
MoRu2W PBE-GGA optimized geometry; calculated formation energy = 0.171 eV per atom; offset from the most stable computed form = 131 meV per atom; N(E_F) = 4.30 states/eV per cell
1.0
2.740 0.000 0.000
0.000 4.281 0.000
-1.363 0.000 5.175
Mo Ru W
1 2 1
Direct
0.000 0.000 0.000
0.141 0.000 0.505
0.501 0.500 0.216
0.606 0.500 0.723



# 10
MoRu2W PBE-GGA optimized geometry; calculated formation energy = 0.189 eV per atom; offset from the most stable computed form = 150 meV per atom; N(E_F) = 13.55 states/eV per cell
1.0
2.765 0.000 0.000
-1.382 2.394 0.000
0.000 0.000 27.467
Mo Ru W
3 6 3
Direct
0.000 0.000 0.000
0.333 0.667 0.667
0.667 0.333 0.333
0.000 0.000 0.497
0.000 0.000 0.745
0.333 0.667 0.164
0.333 0.667 0.412
0.667 0.333 0.079
0.667 0.333 0.830
0.000 0.000 0.243
0.333 0.667 0.909
0.667 0.333 0.576



# 11
MoRu2W PBE-GGA optimized geometry; calculated formation energy = 0.203 eV per atom; offset from the most stable computed form = 163 meV per atom; N(E_F) = 8.01 states/eV per cell
1.0
3.121 0.000 0.000
0.000 4.444 0.000
0.000 0.000 8.782
Mo Ru W
2 4 2
Direct
0.000 0.000 0.000
0.500 0.500 0.500
0.000 0.500 0.233
0.000 0.500 0.767
0.500 0.000 0.267
0.500 0.000 0.733
0.000 0.000 0.500
0.500 0.500 0.000



# 12
MoRu2W PBE-GGA optimized geometry; calculated formation energy = 0.040 eV per atom; offset from the most stable computed form = 0 meV per atom; N(E_F) = 2.99 states/eV per cell
1.0
2.799 0.000 0.000
0.000 3.834 0.000
0.000 0.000 5.576
Mo Ru W
1 2 1
Direct
0.000 0.000 0.000
0.500 0.500 0.250
0.500 0.500 0.750
0.000 0.000 0.500



# 13
MoRu2W PBE-GGA optimized geometry; calculated formation energy = 0.118 eV per atom; offset from the most stable computed form = 79 meV per atom; N(E_F) = 7.15 states/eV per cell
1.0
9.155 0.000 0.000
0.000 2.773 0.000
-0.849 0.000 4.727
Mo Ru W
2 4 2
Direct
0.000 0.000 0.000
0.500 0.500 0.000
0.249 0.000 0.753
0.251 0.500 0.247
0.749 0.500 0.753
0.751 0.000 0.247
0.000 0.500 0.500
0.500 0.000 0.500



# 14
Mo2Ru2W PBE-GGA optimized geometry; calculated formation energy = 0.250 eV per atom; N(E_F) = 8.63 states/eV per cell
1.0
7.408 0.000 0.000
0.000 7.408 0.000
0.000 0.000 2.842
Mo Ru W
4 4 2
Direct
0.169 0.331 0.000
0.331 0.831 0.000
0.669 0.169 0.000
0.831 0.669 0.000
0.130 0.630 0.500
0.370 0.130 0.500
0.630 0.870 0.500
0.870 0.370 0.500
0.000 0.000 0.500
0.500 0.500 0.500



# 15
MoRu2W PBE-GGA optimized geometry; calculated formation energy = 0.347 eV per atom; offset from the most stable computed form = 307 meV per atom; N(E_F) = 24.77 states/eV per cell
1.0
6.244 0.000 0.000
0.000 6.244 0.000
0.000 0.000 6.244
Mo Ru W
4 8 4
Direct
0.000 0.000 0.000
0.000 0.500 0.500
0.500 0.000 0.500
0.500 0.500 0.000
0.250 0.250 0.250
0.250 0.250 0.750
0.250 0.750 0.250
0.250 0.750 0.750
0.750 0.250 0.250
0.750 0.250 0.750
0.750 0.750 0.250
0.750 0.750 0.750
0.000 0.000 0.500
0.000 0.500 0.000
0.500 0.000 0.000
0.500 0.500 0.500



# 16
MoRu2W PBE-GGA optimized geometry; calculated formation energy = 0.219 eV per atom; offset from the most stable computed form = 180 meV per atom; N(E_F) = 9.04 states/eV per cell
1.0
3.092 0.000 0.000
0.000 4.425 0.000
0.000 0.000 8.937
Mo Ru W
2 4 2
Direct
0.000 0.000 0.000
0.500 0.500 0.500
0.000 0.000 0.530
0.000 0.500 0.750
0.500 0.000 0.250
0.500 0.500 0.030
0.000 0.500 0.268
0.500 0.000 0.768



# 17
MoRu2W PBE-GGA optimized geometry; calculated formation energy = 1.419 eV per atom; offset from the most stable computed form = 1380 meV per atom; N(E_F) = 8.03 states/eV per cell
1.0
5.565 0.000 0.000
0.000 5.565 0.000
0.000 0.000 11.443
Mo Ru W
4 8 4
Direct
0.000 0.000 0.000
0.000 0.500 0.250
0.500 0.000 0.750
0.500 0.500 0.500
0.248 0.250 0.125
0.250 0.748 0.375
0.250 0.752 0.875
0.252 0.250 0.625
0.748 0.750 0.625
0.750 0.248 0.875
0.750 0.252 0.375
0.752 0.750 0.125
0.000 0.000 0.500
0.000 0.500 0.750
0.500 0.000 0.250
0.500 0.500 0.000



# 18
MoRu4W PBE-GGA optimized geometry; calculated formation energy = 0.336 eV per atom; N(E_F) = 7.77 states/eV per cell
1.0
0.000 3.565 3.565
3.565 0.000 3.565
3.565 3.565 0.000
Mo Ru W
1 4 1
Direct
0.000 0.000 0.000
0.375 0.375 0.375
0.375 0.375 0.875
0.375 0.875 0.375
0.875 0.375 0.375
0.750 0.750 0.750



# 19
MoRuW4 PBE-GGA optimized geometry; calculated formation energy = 0.440 eV per atom; N(E_F) = 7.07 states/eV per cell
1.0
0.000 3.679 3.679
3.679 0.000 3.679
3.679 3.679 0.000
Mo Ru W
1 1 4
Direct
0.000 0.000 0.000
0.750 0.750 0.750
0.374 0.374 0.374
0.374 0.374 0.877
0.374 0.877 0.374
0.877 0.374 0.374



# 20
MoRu2W PBE-GGA optimized geometry; calculated formation energy = 0.130 eV per atom; offset from the most stable computed form = 91 meV per atom; N(E_F) = 3.82 states/eV per cell
1.0
2.748 0.000 0.000
0.000 4.230 0.000
-1.237 0.000 5.211
Mo Ru W
1 2 1
Direct
0.000 0.000 0.000
0.398 0.500 0.747
0.602 0.500 0.253
0.000 0.000 0.500



# 21
MoRu2W PBE-GGA optimized geometry; calculated formation energy = 0.091 eV per atom; offset from the most stable computed form = 52 meV per atom; N(E_F) = 7.52 states/eV per cell
1.0
3.867 0.000 0.000
0.000 3.867 0.000
0.000 0.000 8.022
Mo Ru W
2 4 2
Direct
0.000 0.000 0.000
0.500 0.500 0.500
0.000 0.000 0.500
0.000 0.500 0.750
0.500 0.000 0.250
0.500 0.500 0.000
0.000 0.500 0.250
0.500 0.000 0.750



# 22
MoRu2W PBE-GGA optimized geometry; calculated formation energy = 0.150 eV per atom; offset from the most stable computed form = 111 meV per atom; N(E_F) = 4.65 states/eV per cell
1.0
2.748 0.000 0.000
0.000 2.748 0.000
0.000 0.000 7.983
Mo Ru W
1 2 1
Direct
0.000 0.000 0.000
0.000 0.000 0.481
0.500 0.500 0.246
0.500 0.500 0.728



# 23
MoRu2W PBE-GGA optimized geometry; calculated formation energy = 0.138 eV per atom; offset from the most stable computed form = 98 meV per atom; N(E_F) = 13.71 states/eV per cell
1.0
2.760 0.000 0.000
-1.380 2.390 0.000
0.000 0.000 27.253
Mo Ru W
3 6 3
Direct
0.000 0.000 0.000
0.333 0.667 0.667
0.667 0.333 0.333
0.000 0.000 0.250
0.000 0.000 0.750
0.333 0.667 0.417
0.333 0.667 0.917
0.667 0.333 0.083
0.667 0.333 0.583
0.000 0.000 0.500
0.333 0.667 0.167
0.667 0.333 0.833



# 24
MoRu2W2 PBE-GGA optimized geometry; calculated formation energy = 0.249 eV per atom; N(E_F) = 8.44 states/eV per cell
1.0
7.446 0.000 0.000
0.000 7.446 0.000
0.000 0.000 2.848
Mo Ru W
2 4 4
Direct
0.000 0.000 0.000
0.500 0.500 0.000
0.131 0.369 0.000
0.369 0.869 0.000
0.631 0.131 0.000
0.869 0.631 0.000
0.167 0.667 0.500
0.333 0.167 0.500
0.667 0.833 0.500
0.833 0.333 0.500



# 25
MoRu2W PBE-GGA optimized geometry; calculated formation energy = 0.084 eV per atom; offset from the most stable computed form = 44 meV per atom; N(E_F) = 7.42 states/eV per cell
1.0
9.177 0.000 0.000
0.000 2.786 0.000
-0.810 0.000 4.704
Mo Ru W
2 4 2
Direct
0.000 0.000 0.000
0.500 0.500 0.000
0.249 0.500 0.220
0.487 0.000 0.488
0.749 0.000 0.220
0.987 0.500 0.488
0.236 0.000 0.710
0.736 0.500 0.710



# 26
ZnMoRuW PBE-GGA optimized geometry; calculated formation energy = 0.133 eV per atom; N(E_F) = 14.82 states/eV per cell
1.0
6.219 0.000 0.000
0.000 6.219 0.000
0.000 0.000 6.219
Zn Mo Ru W
4 4 4 4
Direct
0.000 0.000 0.000
0.000 0.500 0.500
0.500 0.000 0.500
0.500 0.500 0.000
0.250 0.250 0.750
0.250 0.750 0.250
0.750 0.250 0.250
0.750 0.750 0.750
0.250 0.250 0.250
0.250 0.750 0.750
0.750 0.250 0.750
0.750 0.750 0.250
0.000 0.000 0.500
0.000 0.500 0.000
0.500 0.000 0.000
0.500 0.500 0.500



# 27
ZrMo2RuW PBE-GGA optimized geometry; calculated formation energy = 1.260 eV per atom; N(E_F) = 5.77 states/eV per cell
1.0
4.736 0.000 0.000
0.000 4.736 0.000
0.000 0.000 4.663
Zr Mo Ru W
1 2 1 1
Direct
0.000 0.000 0.000
0.000 0.500 0.500
0.500 0.000 0.500
0.500 0.500 0.000
0.500 0.500 0.500



# 28
YMoRu2 PBE-GGA optimized geometry; calculated formation energy = 0.263 eV per atom; offset from the most stable computed form = 307 meV per atom; N(E_F) = 9.05 states/eV per cell
1.0
5.893 0.000 0.000
0.000 8.431 0.000
-0.963 0.000 2.752
Y Mo Ru
2 2 4
Direct
0.000 0.000 0.000
0.500 0.500 0.000
0.000 0.500 0.000
0.500 0.000 0.000
0.250 0.250 0.500
0.250 0.750 0.500
0.750 0.250 0.500
0.750 0.750 0.500



# 29
YMoRu2 PBE-GGA optimized geometry; calculated formation energy = 0.310 eV per atom; offset from the most stable computed form = 355 meV per atom; N(E_F) = 3.77 states/eV per cell
1.0
2.833 0.000 0.000
0.000 2.833 0.000
0.000 0.000 8.624
Y Mo Ru
1 1 2
Direct
0.000 0.000 0.000
0.500 0.500 0.291
0.000 0.000 0.534
0.500 0.500 0.723



# 30
YMoRu3 PBE-GGA optimized geometry; calculated formation energy = 0.697 eV per atom; offset from the most stable computed form = 0 meV per atom; N(E_F) = 5.48 states/eV per cell
1.0
4.678 0.000 0.000
0.000 4.678 0.000
0.000 0.000 4.678
Y Mo Ru
1 1 3
Direct
0.000 0.000 0.000
0.500 0.500 0.500
0.000 0.500 0.500
0.500 0.000 0.500
0.500 0.500 0.000